# ScPdW2 GGA-PBE relaxed
# E above lowest polymorph   80 meV per atom
# Uncorrected energy   -8.7034 eV/atom
# DFT formation energy   0.6543 eV per atom
data_ScPdW2
_cell_length_a 5.982
_cell_length_b 5.982
_cell_length_c 5.982
_cell_angle_alpha 100.41
_cell_angle_beta 100.41
_cell_angle_gamma 129.69
_space_group_name_H-M_alt 'P 1'
_space_group_IT_number 1
_space_group_name_Hall 'P 1'
loop_
_atom_site_label
_atom_site_fract_x
_atom_site_fract_y
_atom_site_fract_z
Sc1 0.000 0.000 0.000
Sc2 0.750 0.250 0.500
Pd1 0.250 0.750 0.500
Pd2 0.500 0.500 0.000
W1 0.159 0.625 0.034
W2 0.375 0.409 0.534
W3 0.591 0.125 0.966
W4 0.875 0.841 0.466

=====

# TlZnBrF2 GGA-PBE relaxed
# E above lowest polymorph   0 meV per atom
# Uncorrected energy   -3.4417 eV/atom
# ΔE_f (raw)   -1631 meV per atom
data_TlZnBrF2
_cell_length_a 6.976
_cell_length_b 6.976
_cell_length_c 7.946
_cell_angle_alpha 90.00
_cell_angle_beta 90.00
_cell_angle_gamma 146.55
_space_group_name_H-M_alt 'P 1'
_space_group_IT_number 1
_space_group_name_Hall 'P 1'
loop_
_atom_site_label
_atom_site_fract_x
_atom_site_fract_y
_atom_site_fract_z
Tl1 0.228 0.772 0.750
Tl2 0.772 0.228 0.250
Zn1 0.500 0.500 0.000
Zn2 0.500 0.500 0.500
Br1 0.033 0.967 0.250
Br2 0.967 0.033 0.750
F1 0.362 0.638 0.044
F2 0.362 0.638 0.456
F3 0.638 0.362 0.544
F4 0.638 0.362 0.956

=====

Copy entry 2 word for word.
# TlZnBrF2 GGA-PBE relaxed
# E above lowest polymorph   0 meV per atom
# Uncorrected energy   -3.4417 eV/atom
# ΔE_f (raw)   -1631 meV per atom
data_TlZnBrF2
_cell_length_a 6.976
_cell_length_b 6.976
_cell_length_c 7.946
_cell_angle_alpha 90.00
_cell_angle_beta 90.00
_cell_angle_gamma 146.55
_space_group_name_H-M_alt 'P 1'
_space_group_IT_number 1
_space_group_name_Hall 'P 1'
loop_
_atom_site_label
_atom_site_fract_x
_atom_site_fract_y
_atom_site_fract_z
Tl1 0.228 0.772 0.750
Tl2 0.772 0.228 0.250
Zn1 0.500 0.500 0.000
Zn2 0.500 0.500 0.500
Br1 0.033 0.967 0.250
Br2 0.967 0.033 0.750
F1 0.362 0.638 0.044
F2 0.362 0.638 0.456
F3 0.638 0.362 0.544
F4 0.638 0.362 0.956

=====

> What is the E above lowest polymorph in the second record?

0 meV per atom